Density functional theory data (PBE) for a relaxed In2Ni2Ge crystal.

Output
As for the space group: P4/mbm (127). Its formation energy is -29.3 meV per atom.

Cell: 6.4767 6.4767 3.9761 Å, 90.00 90.00 90.00°
Sites, in units of the cell vectors:
Ni 0.6463 0.1463 0.0000
Ni 0.8537 0.6463 0.0000
Ni 0.1463 0.3537 0.0000
Ni 0.3537 0.8537 0.0000
In 0.3389 0.1611 0.5000
In 0.8389 0.3389 0.5000
In 0.6611 0.8389 0.5000
In 0.1611 0.6611 0.5000
Ge 0.5000 0.5000 0.0000
Ge 0.0000 0.0000 0.0000

Density functional theory data (PBE) for a relaxed TmBRh4 crystal.

Output
As for the space group: P4_2/nmc (137). Its formation energy is -44.3 meV per atom.

Cell: 5.1069 5.1069 7.9379 Å, 90.00 90.00 90.00°
Sites, in units of the cell vectors:
Rh 0.0000 0.2579 0.8067
Rh 0.7579 0.5000 0.3067
Rh 0.5000 0.7579 0.6933
Rh 0.2421 0.5000 0.3067
Rh 0.5000 0.2421 0.6933
Rh 0.2579 0.0000 0.1933
Rh 0.7421 0.0000 0.1933
Rh 0.0000 0.7421 0.8067
Tm 0.5000 0.5000 0.0000
Tm 0.0000 0.0000 0.5000
B 0.0000 0.0000 0.0000
B 0.5000 0.5000 0.5000

Density functional theory data (PBE) for a relaxed Pa2GaW crystal.

Output
As for the space group: R-3m (166). Its formation energy is 416.3 meV per atom. The calculation puts the relative energy among the computed polymorphs at 1.60 eV per formula unit.

Cell: 3.0132 3.0132 11.4778 Å, 82.46 82.46 60.00°
Sites, in units of the cell vectors:
Pa 0.0907 0.0907 0.7280
Pa 0.9093 0.9093 0.2720
W 0.5000 0.5000 0.5000
Ga 0.0000 0.0000 0.0000

Density functional theory data (PBE) for a relaxed ScCoTcMo crystal.

Output
As for the space group: F-43m (216). Its formation energy is -118.3 meV per atom.

Cell: 4.4007 4.4007 4.4007 Å, 60.00 60.00 60.00°
Site moments in Bohr magnetons follow the coordinates.
Sites, in units of the cell vectors:
Co 0.2500 0.2500 0.2500  1.05
Mo 0.5000 0.5000 0.5000  0.19
Sc 0.0000 0.0000 0.0000  -0.08
Tc 0.7500 0.7500 0.7500  -0.05

Density functional theory data (PBE) for a relaxed TbAs2PdO8 crystal.

Output
The raw formation energy is -1.363 eV per atom. As for the space group: I-4m2 (119).

Cell: 5.9694 5.9694 5.9694 Å, 106.45 106.45 115.70°
Site moments in Bohr magnetons follow the coordinates.
Sites, in units of the cell vectors:
O 0.3176 0.4977 0.1801  0.12
O 0.9282 0.6089 0.6807  0.16
O 0.3911 0.0718 0.3193  0.16
O 0.7525 0.0718 0.6807  0.16
O 0.5023 0.6824 0.8199  0.12
O 0.3176 0.1375 0.8199  0.12
O 0.8625 0.6824 0.1801  0.12
O 0.9282 0.2475 0.3193  0.16
Pd 0.2500 0.7500 0.5000  1.54
Tb 0.0000 0.0000 0.0000  0.02
As 0.7500 0.2500 0.5000  -0.01
As 0.5000 0.5000 0.0000  0.02

Density functional theory data (PBE) for a relaxed SiAgBr2 crystal.

Output
The raw formation energy is 0.249 eV per atom. As for the space group: I-42d (122). The calculation puts the relative energy among the computed polymorphs at 1.37 eV per formula unit.

Cell: 5.3699 5.3699 8.9829 Å, 72.61 72.61 90.00°
Sites, in units of the cell vectors:
Si 0.2500 0.7500 0.5000
Si 0.5000 0.5000 0.0000
Ag 0.0000 0.0000 0.0000
Ag 0.7500 0.2500 0.5000
Br 0.8750 0.8660 0.7500
Br 0.3750 0.3840 0.7500
Br 0.6160 0.1250 0.2500
Br 0.1340 0.6250 0.2500

Density functional theory data (PBE) for a relaxed Y2Be4Si3Ru crystal.

Output
The raw formation energy is -0.462 eV per atom. As for the space group: P-4m2 (115).

Cell: 3.8011 3.8011 9.9377 Å, 90.00 90.00 90.00°
Sites, in units of the cell vectors:
Be 0.5000 0.5000 0.0000
Be 0.0000 0.5000 0.3645
Be 0.5000 0.0000 0.6355
Be 0.0000 0.0000 0.0000
Si 0.0000 0.5000 0.1323
Si 0.0000 0.0000 0.5000
Si 0.5000 0.0000 0.8677
Y 0.0000 0.5000 0.7546
Y 0.5000 0.0000 0.2454
Ru 0.5000 0.5000 0.5000

Density functional theory data (PBE) for a relaxed Ce2HfTi crystal.

Output
As for the space group: R-3m (166). Its formation energy is 272.7 meV per atom. The calculation puts the relative energy among the computed polymorphs at 0.35 eV per formula unit.

Cell: 3.0367 3.0367 11.5014 Å, 82.41 82.41 60.00°
Sites, in units of the cell vectors:
Ce 0.9193 0.9193 0.2421
Ce 0.0807 0.0807 0.7579
Ti 0.0000 0.0000 0.0000
Hf 0.5000 0.5000 0.5000

Density functional theory data (PBE) for a relaxed Ce3Th7In crystal.

Output
As for the space group: Immm (71). Its formation energy is 250.2 meV per atom.

Cell: 6.0100 8.2480 8.2480 Å, 84.73 111.34 111.34°
Sites, in units of the cell vectors:
Th 0.3145 0.0176 0.6114
Th 0.3145 0.6114 0.0176
Th 0.6855 0.9824 0.3886
Th 0.0000 0.5000 0.5000
Th 0.6855 0.3886 0.9824
Th 0.8060 0.8061 0.8061
Th 0.1940 0.1939 0.1939
Ce 0.0000 0.1992 0.8008
Ce 0.0000 0.8008 0.1992
Ce 0.5000 0.0000 0.0000
In 0.5000 0.5000 0.5000

Density functional theory data (PBE) for a relaxed PuIn2Au2 crystal.

Output
As for the space group: P2_1/m (11). Its formation energy is -277.2 meV per atom. The calculation puts the relative energy among the computed polymorphs at 0.00 eV per formula unit.

Cell: 3.3939 5.1203 13.1831 Å, 92.51 90.00 90.00°
Site moments in Bohr magnetons follow the coordinates.
Sites, in units of the cell vectors:
In 0.7500 0.7465 0.4671  -0.02
In 0.2500 0.2535 0.5329  -0.02
In 0.7500 0.2032 0.1336  -0.03
In 0.2500 0.7968 0.8664  -0.03
Au 0.7500 0.7043 0.0501  -0.01
Au 0.2500 0.7674 0.6515  0.00
Au 0.2500 0.2957 0.9499  -0.01
Au 0.7500 0.2326 0.3485  0.00
Pu 0.2500 0.7184 0.2507  5.40
Pu 0.7500 0.2816 0.7493  5.40

Density functional theory data (PBE) for a relaxed ZrAs2Br crystal.

Output
The raw formation energy is -0.419 eV per atom. As for the space group: Imm2 (44). The calculation puts the relative energy among the computed polymorphs at 0.81 eV per formula unit.

Cell: 7.5511 7.5511 7.5511 Å, 153.51 140.61 48.10°
Sites, in units of the cell vectors:
As 0.7673 0.2673 0.5000
As 0.8986 0.8986 0.0000
Zr 0.3390 0.8390 0.5000
Br 0.4950 0.4950 0.0000

Density functional theory data (PBE) for a relaxed CrAsW crystal.

Output
As for the space group: Amm2 (38). Its formation energy is 275.5 meV per atom. The calculation puts the relative energy among the computed polymorphs at 0.12 eV per formula unit.

Cell: 3.0462 3.0695 11.0303 Å, 90.00 90.00 119.75°
Sites, in units of the cell vectors:
Cr 0.6017 0.2033 0.3224
Cr 0.6017 0.2033 0.6776
W 0.6093 0.2186 0.0000
W 0.3064 0.6128 0.5000
As 0.2738 0.5475 0.1697
As 0.2738 0.5475 0.8303

| no. | uncorrected energy (eV/atom) | density (g/cm3) |
| --- | --- | --- |
| 1 | -4.36 | 8.4 |
| 2 | -6.80 | 9.5 |
| 3 | -8.33 | 13.3 |
| 4 | -8.78 | 8.2 |
| 5 | -6.26 | 5.6 |
| 6 | -2.66 | 4.2 |
| 7 | -5.80 | 4.6 |
| 8 | -7.16 | 9.3 |
| 9 | -6.34 | 10.1 |
| 10 | -5.55 | 12.6 |
| 11 | -5.30 | 4.4 |
| 12 | -8.80 | 11.5 |